1.
# GGA-PBE SmTl, optimized geometry
data_SmTl
_chemical_formula_sum 'Sm1 Tl1'
_symmetry_space_group_name_H-M 'P 1'
_symmetry_Int_Tables_number 1
_symmetry_space_group_name_Hall 'P 1'
_cell_length_a 3.610
_cell_length_b 3.610
_cell_length_c 5.274
_cell_angle_alpha 90.00
_cell_angle_beta 90.00
_cell_angle_gamma 120.00
loop_
_atom_site_label
_atom_site_type_symbol
_atom_site_fract_x
_atom_site_fract_y
_atom_site_fract_z
Sm1 Sm 0.000 0.000 0.000
Tl1 Tl 0.667 0.333 0.500
# Magnetization = 0.04 Bohr magnetons per cell
# Space group = P-6m2, No. 187
# DFT total energy = -3.751 eV/atom

=====

2.
# GGA-PBE InCu3Te4Pd, optimized geometry
data_InCu3Te4Pd
_chemical_formula_sum 'In1 Cu3 Te4 Pd1'
_symmetry_space_group_name_H-M 'P 1'
_symmetry_Int_Tables_number 1
_symmetry_space_group_name_Hall 'P 1'
_cell_length_a 6.253
_cell_length_b 6.253
_cell_length_c 6.253
_cell_angle_alpha 90.00
_cell_angle_beta 90.00
_cell_angle_gamma 90.00
loop_
_atom_site_label
_atom_site_type_symbol
_atom_site_fract_x
_atom_site_fract_y
_atom_site_fract_z
In1 In 0.000 0.000 0.000
Cu1 Cu 0.000 0.500 0.500
Cu2 Cu 0.500 0.000 0.500
Cu3 Cu 0.500 0.500 0.000
Te1 Te 0.258 0.258 0.258
Te2 Te 0.258 0.742 0.742
Te3 Te 0.742 0.258 0.742
Te4 Te 0.742 0.742 0.258
Pd1 Pd 0.500 0.500 0.500
# Space group = P-43m, No. 215
# DFT total energy = -3.579 eV/atom

=====

3.
# GGA-PBE HoBeSn, optimized geometry
data_HoBeSn
_chemical_formula_sum 'Ho1 Be1 Sn1'
_symmetry_space_group_name_H-M 'P 1'
_symmetry_Int_Tables_number 1
_symmetry_space_group_name_Hall 'P 1'
_cell_length_a 4.669
_cell_length_b 4.669
_cell_length_c 4.669
_cell_angle_alpha 60.00
_cell_angle_beta 60.00
_cell_angle_gamma 60.00
loop_
_atom_site_label
_atom_site_type_symbol
_atom_site_fract_x
_atom_site_fract_y
_atom_site_fract_z
Ho1 Ho 0.000 0.000 0.000
Be1 Be 0.500 0.500 0.500
Sn1 Sn 0.750 0.750 0.750
# Magnetization = 0.00 Bohr magnetons per cell
# Space group = F-43m, No. 216
# DFT total energy = -3.945 eV/atom